Entry 1:
First-principles (PBE) data for an optimized crystal structure of LaY5Tl4, as listed in Alexandria via LeMat-Bulk.

Properties
DFT formation energy (meV per atom): -302
Total magnetization (μB per formula unit): 0.1
Final energy (eV for the cell shown): -49.73

a b c (Å): 3.620 3.620 22.024
angles (deg): 90.00 90.00 90.00
Fractional coordinates of all 10 atoms:
La  0.000  0.000  0.000
Y  0.500  0.500  0.120
Y  0.500  0.500  0.309
Y  0.500  0.500  0.500
Y  0.500  0.500  0.691
Y  0.500  0.500  0.880
Tl  0.000  0.000  0.213
Tl  0.000  0.000  0.405
Tl  0.000  0.000  0.595
Tl  0.000  0.000  0.787

Entry 2:
First-principles (PBE) data for an optimized crystal structure of K2LiAlSn2, as listed in Alexandria via LeMat-Bulk.

Properties
DFT formation energy (meV per atom): -193
Total magnetization (μB per formula unit): 0.0
Final energy (eV for the cell shown): -34.03

a b c (Å): 9.512 9.512 9.512
angles (deg): 138.13 60.44 138.48
Fractional coordinates of all 12 atoms:
K  0.171  0.242  0.413
K  0.329  0.742  0.071
K  0.671  0.258  0.929
K  0.829  0.758  0.587
Li  0.250  0.250  0.000
Li  0.750  0.750  0.000
Al  0.250  0.750  0.500
Al  0.750  0.250  0.500
Sn  0.094  0.739  0.832
Sn  0.406  0.239  0.645
Sn  0.594  0.761  0.355
Sn  0.906  0.261  0.168

Entry 3:
First-principles (PBE) data for an optimized crystal structure of Cs3SmU2Se6, as listed in Alexandria via LeMat-Bulk.

Properties
Total magnetization (μB per formula unit): 6.0
Final energy (eV for the cell shown): -67.20
E_form (uncorrected) (eV/atom): -1.369

a b c (Å): 7.450 7.450 8.784
angles (deg): 98.12 98.12 120.00
Fractional coordinates of all 12 atoms:
Cs  0.000  0.000  0.000
Cs  0.335  0.665  0.000
Cs  0.665  0.335  0.000
Sm  0.500  0.500  0.500
U  0.167  0.833  0.500
U  0.833  0.167  0.500
Se  0.099  0.437  0.312
Se  0.225  0.225  0.688
Se  0.437  0.099  0.312
Se  0.563  0.901  0.688
Se  0.775  0.775  0.312
Se  0.901  0.563  0.688

Entry 4:
First-principles (PBE) data for an optimized crystal structure of Li2Cd3Ag5, as listed in Alexandria via LeMat-Bulk.

Properties
DFT formation energy (meV per atom): 32
Total magnetization (μB per formula unit): 0.0
Final energy (eV for the cell shown): -41.01
Distance to the lowest polymorph of the same formula (meV/atom): 115

a b c (Å): 9.149 9.149 9.149
angles (deg): 107.84 82.61 145.32
Fractional coordinates of all 20 atoms:
Li  0.162  0.214  0.376
Li  0.338  0.714  0.051
Li  0.662  0.286  0.949
Li  0.838  0.786  0.624
Cd  0.200  0.914  0.113
Cd  0.250  0.250  0.000
Cd  0.300  0.414  0.714
Cd  0.700  0.586  0.286
Cd  0.750  0.750  0.000
Cd  0.800  0.086  0.887
Ag  0.162  0.625  0.787
Ag  0.250  0.501  0.251
Ag  0.250  0.750  0.500
Ag  0.250  0.999  0.749
Ag  0.338  0.125  0.463
Ag  0.662  0.875  0.537
Ag  0.750  0.001  0.251
Ag  0.750  0.250  0.500
Ag  0.750  0.499  0.749
Ag  0.838  0.375  0.213

Entry 5:
First-principles (PBE) data for an optimized crystal structure of NdBe2B6, as listed in Alexandria via LeMat-Bulk.

Properties
DFT formation energy (meV per atom): -169
Total magnetization (μB per formula unit): 0.0
Final energy (eV for the cell shown): -53.81

a b c (Å): 5.413 5.413 5.413
angles (deg): 146.86 106.29 83.23
Fractional coordinates of all 9 atoms:
Nd  0.000  0.000  0.000
Be  0.348  0.848  0.500
Be  0.652  0.152  0.500
B  0.062  0.300  0.762
B  0.366  0.500  0.866
B  0.462  0.700  0.762
B  0.538  0.300  0.238
B  0.634  0.500  0.134
B  0.938  0.700  0.238

Entry 6:
First-principles (PBE) data for an optimized crystal structure of Ho2NbAg, as listed in Alexandria via LeMat-Bulk.

Properties
DFT formation energy (meV per atom): 474
Total magnetization (μB per formula unit): 0.9
Final energy (eV for the cell shown): -20.18
Distance to the lowest polymorph of the same formula (meV/atom): 458

a b c (Å): 11.253 11.253 11.253
angles (deg): 16.10 16.10 16.10
Fractional coordinates of all 4 atoms:
Ho  0.089  0.089  0.089
Ho  0.911  0.911  0.911
Nb  0.000  0.000  0.000
Ag  0.500  0.500  0.500

Entry 7:
First-principles (PBE) data for an optimized crystal structure of LaPr3Nd5, as listed in Alexandria via LeMat-Bulk.

Properties
DFT formation energy (meV per atom): 352
Total magnetization (μB per formula unit): 0.0
Final energy (eV for the cell shown): -79.88
Distance to the lowest polymorph of the same formula (meV/atom): 102

a b c (Å): 9.576 9.576 12.523
angles (deg): 126.06 126.06 53.34
Fractional coordinates of all 18 atoms:
La  0.108  0.108  0.365
La  0.892  0.892  0.635
Pr  0.000  0.000  0.000
Pr  0.000  0.000  0.500
Pr  0.163  0.163  0.857
Pr  0.296  0.296  0.199
Pr  0.704  0.704  0.801
Pr  0.837  0.837  0.143
Nd  0.096  0.481  0.729
Nd  0.317  0.683  0.500
Nd  0.360  0.360  0.550
Nd  0.446  0.446  0.087
Nd  0.481  0.096  0.729
Nd  0.519  0.904  0.271
Nd  0.554  0.554  0.913
Nd  0.640  0.640  0.450
Nd  0.683  0.317  0.500
Nd  0.904  0.519  0.271

Entry 8:
First-principles (PBE) data for an optimized crystal structure of Fe3Sb4, as listed in Alexandria via LeMat-Bulk.

Properties
Total magnetization (μB per formula unit): 7.6
Final energy (eV for the cell shown): -38.85
Distance to the lowest polymorph of the same formula (meV/atom): 319
E_form (uncorrected) (eV/atom): 0.432

a b c (Å): 5.128 5.128 6.301
angles (deg): 90.00 90.00 120.00
Fractional coordinates of all 7 atoms:
Fe  0.000  0.500  0.000
Fe  0.500  0.000  0.000
Fe  0.500  0.500  0.000
Sb  0.000  0.000  0.226
Sb  0.000  0.000  0.774
Sb  0.333  0.667  0.500
Sb  0.667  0.333  0.500

Entry 9:
First-principles (PBE) data for an optimized crystal structure of Y2Co3Ge5, as listed in Alexandria via LeMat-Bulk.

Properties
DFT formation energy (meV per atom): -508
Total magnetization (μB per formula unit): 0.0
Final energy (eV for the cell shown): -124.83
Distance to the lowest polymorph of the same formula (meV/atom): 80

a b c (Å): 12.278 12.278 6.631
angles (deg): 90.00 90.00 160.90
Fractional coordinates of all 20 atoms:
Y  0.023  0.977  0.500
Y  0.325  0.675  0.523
Y  0.675  0.325  0.023
Y  0.977  0.023  0.000
Co  0.108  0.892  0.771
Co  0.280  0.720  0.012
Co  0.446  0.554  0.717
Co  0.554  0.446  0.217
Co  0.720  0.280  0.512
Co  0.892  0.108  0.271
Ge  0.095  0.905  0.134
Ge  0.206  0.794  0.719
Ge  0.212  0.788  0.305
Ge  0.380  0.620  0.014
Ge  0.450  0.550  0.335
Ge  0.550  0.450  0.835
Ge  0.620  0.380  0.514
Ge  0.788  0.212  0.805
Ge  0.794  0.206  0.219
Ge  0.905  0.095  0.634

Entry 10:
First-principles (PBE) data for an optimized crystal structure of FeSbSe2, as listed in Alexandria via LeMat-Bulk.

Properties
Total magnetization (μB per formula unit): 3.0
Final energy (eV for the cell shown): -18.36
E_form (uncorrected) (eV/atom): 0.299

a b c (Å): 8.148 8.148 8.148
angles (deg): 29.74 29.74 29.74
Fractional coordinates of all 4 atoms:
Fe  0.000  0.000  0.000
Sb  0.500  0.500  0.500
Se  0.099  0.099  0.099
Se  0.901  0.901  0.901

Entry 11:
First-principles (PBE) data for an optimized crystal structure of InOsRh2, as listed in Alexandria via LeMat-Bulk.

Properties
DFT formation energy (meV per atom): 90
Total magnetization (μB per formula unit): 0.0
Final energy (eV for the cell shown): -28.31

a b c (Å): 4.802 4.802 4.802
angles (deg): 130.81 130.81 72.11
Fractional coordinates of all 4 atoms:
In  0.000  0.000  0.000
Os  0.500  0.500  0.000
Rh  0.250  0.750  0.500
Rh  0.750  0.250  0.500

Entry 12:
First-principles (PBE) data for an optimized crystal structure of CaS4O12, as listed in Alexandria via LeMat-Bulk.

Properties
Total magnetization (μB per formula unit): 0.0
Final energy (eV for the cell shown): -84.30
E_form (uncorrected) (eV/atom): -0.370

a b c (Å): 5.938 5.938 5.938
angles (deg): 109.47 109.47 109.47
Fractional coordinates of all 17 atoms:
Ca  0.000  0.000  0.000
S  0.000  0.000  0.500
S  0.000  0.500  0.000
S  0.500  0.000  0.000
S  0.500  0.500  0.500
O  0.099  0.806  0.293
O  0.194  0.293  0.487
O  0.194  0.707  0.901
O  0.293  0.099  0.806
O  0.293  0.487  0.194
O  0.487  0.194  0.293
O  0.513  0.806  0.707
O  0.707  0.513  0.806
O  0.707  0.901  0.194
O  0.806  0.293  0.099
O  0.806  0.707  0.513
O  0.901  0.194  0.707

Entry 13:
First-principles (PBE) data for an optimized crystal structure of BaZnGeO4, as listed in Alexandria via LeMat-Bulk.

Properties
Total magnetization (μB per formula unit): 0.0
Final energy (eV for the cell shown): -82.21
E_form (uncorrected) (eV/atom): -1.923

a b c (Å): 5.489 5.873 7.017
angles (deg): 90.00 105.47 90.00
Fractional coordinates of all 14 atoms:
Ba  0.234  0.250  0.446
Ba  0.766  0.750  0.554
Zn  0.364  0.250  0.003
Zn  0.636  0.750  0.997
Ge  0.233  0.750  0.170
Ge  0.767  0.250  0.830
O  0.017  0.250  0.045
O  0.148  0.750  0.395
O  0.470  0.527  0.190
O  0.470  0.973  0.190
O  0.530  0.027  0.810
O  0.530  0.473  0.810
O  0.852  0.250  0.605
O  0.983  0.750  0.955

Entry 14:
First-principles (PBE) data for an optimized crystal structure of Zn3CuW, as listed in Alexandria via LeMat-Bulk.

Properties
DFT formation energy (meV per atom): 1045
Total magnetization (μB per formula unit): 0.0
Final energy (eV for the cell shown): -15.64
Distance to the lowest polymorph of the same formula (meV/atom): 0

a b c (Å): 4.357 4.357 4.357
angles (deg): 90.00 90.00 90.00
Fractional coordinates of all 5 atoms:
Zn  0.000  0.000  0.500
Zn  0.000  0.500  0.000
Zn  0.500  0.000  0.000
Cu  0.000  0.000  0.000
W  0.500  0.500  0.500

Entry 15:
First-principles (PBE) data for an optimized crystal structure of CrCdPbS2, as listed in Alexandria via LeMat-Bulk.

Properties
Total magnetization (μB per formula unit): 4.7
Final energy (eV for the cell shown): -18.30
E_form (uncorrected) (eV/atom): 0.840

a b c (Å): 5.339 5.339 5.478
angles (deg): 90.00 90.00 90.00
Fractional coordinates of all 5 atoms:
Cr  0.000  0.000  0.000
Cd  0.500  0.500  0.000
Pb  0.500  0.500  0.500
S  0.000  0.500  0.500
S  0.500  0.000  0.500

Entry 16:
First-principles (PBE) data for an optimized crystal structure of SmMnNiGe2, as listed in Alexandria via LeMat-Bulk.

Properties
DFT formation energy (meV per atom): -568
Total magnetization (μB per formula unit): 3.5
Final energy (eV for the cell shown): -31.74

a b c (Å): 5.933 5.933 5.933
angles (deg): 139.51 139.51 58.60
Fractional coordinates of all 5 atoms:
Sm  0.000  0.000  0.000
Mn  0.250  0.750  0.500
Ni  0.750  0.250  0.500
Ge  0.377  0.377  0.000
Ge  0.623  0.623  0.000

Entry 17:
First-principles (PBE) data for an optimized crystal structure of Re2TeRh, as listed in Alexandria via LeMat-Bulk.

Properties
Total magnetization (μB per formula unit): 0.0
Final energy (eV for the cell shown): -33.07
E_form (uncorrected) (eV/atom): 0.581

a b c (Å): 5.543 5.543 5.543
angles (deg): 147.50 132.96 58.34
Fractional coordinates of all 4 atoms:
Re  0.219  0.219  0.000
Re  0.781  0.781  0.000
Te  0.000  0.500  0.500
Rh  0.500  0.000  0.500

Entry 18:
First-principles (PBE) data for an optimized crystal structure of YVSb3, as listed in Alexandria via LeMat-Bulk.

Properties
Total magnetization (μB per formula unit): 0.5
Final energy (eV for the cell shown): -122.07
Distance to the lowest polymorph of the same formula (meV/atom): 0
E_form (uncorrected) (eV/atom): -0.513

a b c (Å): 12.796 6.318 5.952
angles (deg): 90.00 90.00 90.00
Fractional coordinates of all 20 atoms:
Y  0.188  0.003  0.250
Y  0.188  0.497  0.750
Y  0.812  0.503  0.250
Y  0.812  0.997  0.750
V  0.400  0.750  0.000
V  0.400  0.750  0.500
V  0.600  0.250  0.000
V  0.600  0.250  0.500
Sb  0.002  0.750  0.000
Sb  0.002  0.750  0.500
Sb  0.274  0.007  0.750
Sb  0.274  0.493  0.250
Sb  0.434  0.104  0.250
Sb  0.434  0.396  0.750
Sb  0.566  0.604  0.250
Sb  0.566  0.896  0.750
Sb  0.726  0.507  0.750
Sb  0.726  0.993  0.250
Sb  0.998  0.250  0.000
Sb  0.998  0.250  0.500

Entry 19:
First-principles (PBE) data for an optimized crystal structure of Pu2ZnOs, as listed in Alexandria via LeMat-Bulk.

Properties
DFT formation energy (meV per atom): -69
Total magnetization (μB per formula unit): 10.4
Final energy (eV for the cell shown): -41.44

a b c (Å): 3.213 3.213 8.134
angles (deg): 90.00 90.00 90.00
Fractional coordinates of all 4 atoms:
Pu  0.000  0.000  0.224
Pu  0.000  0.000  0.776
Zn  0.500  0.500  0.500
Os  0.500  0.500  0.000

Entry 20:
First-principles (PBE) data for an optimized crystal structure of V3FeH6, as listed in Alexandria via LeMat-Bulk.

Properties
Total magnetization (μB per formula unit): 1.6
Final energy (eV for the cell shown): -113.89

a b c (Å): 5.588 5.588 4.418
angles (deg): 90.00 90.00 102.23
Fractional coordinates of all 20 atoms:
V  0.115  0.885  0.500
V  0.187  0.409  0.528
V  0.409  0.187  0.028
V  0.591  0.813  0.528
V  0.813  0.591  0.028
V  0.885  0.115  0.000
Fe  0.337  0.663  0.044
Fe  0.663  0.337  0.544
H  0.079  0.612  0.264
H  0.138  0.157  0.264
H  0.157  0.138  0.764
H  0.288  0.712  0.688
H  0.388  0.921  0.264
H  0.494  0.506  0.301
H  0.506  0.494  0.801
H  0.612  0.079  0.764
H  0.712  0.288  0.188
H  0.843  0.862  0.264
H  0.862  0.843  0.764
H  0.921  0.388  0.764

Entry 21:
First-principles (PBE) data for an optimized crystal structure of ScOs, as listed in Alexandria via LeMat-Bulk.

Properties
DFT formation energy (meV per atom): 9
Total magnetization (μB per formula unit): 0.0
Final energy (eV for the cell shown): -70.18

a b c (Å): 8.242 7.565 4.829
angles (deg): 80.06 64.70 35.24
Fractional coordinates of all 8 atoms:
Sc  0.042  0.708  0.042
Sc  0.292  0.958  0.292
Sc  0.708  0.042  0.708
Sc  0.958  0.292  0.958
Os  0.290  0.290  0.460
Os  0.460  0.460  0.290
Os  0.540  0.540  0.710
Os  0.710  0.710  0.540